Compound: KCa2Pb
Source: Alexandria via LeMat-Bulk
Functional: PBE-GGA
Structure: optimized geometry

Structure (CIF):
```
data_KCa2Pb
_chemical_formula_sum 'K2 Ca4 Pb2'
_symmetry_space_group_name_H-M 'C 1 2/m 1'
_symmetry_Int_Tables_number 12
_cell_length_a 9.555
_cell_length_b 3.998
_cell_length_c 9.404
_cell_angle_alpha 90.00
_cell_angle_beta 96.58
_cell_angle_gamma 90.00
loop_
_symmetry_equiv_pos_as_xyz
'x,y,z'
'-x,-y,-z'
'-x,y,-z'
'x,-y,z'
'x+1/2,y+1/2,z'
'-x+1/2,-y+1/2,-z'
'-x+1/2,y+1/2,-z'
'x+1/2,-y+1/2,z'
loop_
_atom_site_label
_atom_site_type_symbol
_atom_site_fract_x
_atom_site_fract_y
_atom_site_fract_z
K1 K 0.000 0.000 0.000
Ca1 Ca 0.226 0.000 0.670
Pb1 Pb 0.000 0.500 0.500
```

* ΔE_f: -3.27 kcal/mol of atoms
* DOS at the Fermi energy: 4.3 states/eV/cell
* total DFT energy (no corrections): -2.3439 eV per atom
* theoretical density: 3.0 g/cm3
* crystal system: monoclinic